# SnPb2Se2O2

A relaxed SnPb2Se2O2 crystal (PBE, Alexandria).

Calculated values
The energy relative to the elements, uncorrected comes out at -0.914 eV/atom. The symmetry is C2/m, No. 12. As for the density: 7.6 g/cm³.

Geometry as POSCAR:
```
SnPb2Se2O2
1.0
6.179 -1.947 0.000
6.179 1.947 0.000
-3.894 0.000 6.601
Sn Pb Se O
1 2 2 2
direct
0.000 0.000 0.000
0.192 0.192 0.752
0.808 0.808 0.248
0.440 0.440 0.716
0.560 0.560 0.284
0.188 0.188 0.066
0.812 0.812 0.934
```

=====

# Cs8Na3

A relaxed Cs8Na3 crystal (PBE, Alexandria).

Calculated values
Its density of states at the Fermi level is 11.41 states/eV/f.u. The calculation puts the formation enthalpy at 0 K at 52 meV/atom. The symmetry is R-3, No. 148. As for the density: 1.8 g/cm³.

Geometry as POSCAR:
```
Cs8Na3
1.0
7.074 4.084 6.167
-7.074 4.084 6.167
0.000 -8.169 6.167
Cs Na
8 3
direct
0.139 0.139 0.139
0.177 0.345 0.636
0.345 0.636 0.177
0.364 0.823 0.655
0.636 0.177 0.345
0.655 0.364 0.823
0.823 0.655 0.364
0.861 0.861 0.861
0.000 0.000 0.500
0.000 0.500 0.000
0.500 0.000 0.000
```

=====

# Pm2Ga3SbPt4

A relaxed Pm2Ga3SbPt4 crystal (PBE, Alexandria).

Calculated values
Its density of states at the Fermi level is 5.01 states/eV/f.u. The energy relative to the elements, uncorrected comes out at -0.921 eV/atom. The symmetry is P-4m2, No. 115. As for the density: 11.6 g/cm³.

Geometry as POSCAR:
```
Pm2Ga3SbPt4
1.0
4.341 0.000 0.000
0.000 4.341 0.000
0.000 0.000 10.662
Pm Ga Sb Pt
2 3 1 4
direct
0.000 0.500 0.239
0.500 0.000 0.761
0.000 0.500 0.875
0.500 0.000 0.125
0.500 0.500 0.500
0.000 0.000 0.500
0.000 0.000 0.000
0.000 0.500 0.643
0.500 0.000 0.357
0.500 0.500 0.000
```

=====

# Tb3Y2Sc3

A relaxed Tb3Y2Sc3 crystal (PBE, Alexandria).

Calculated values
As for the polymorph energy (0 for the lowest one): 0 meV/atom. Its density of states at the Fermi level is 12.22 states/eV/f.u. The calculation puts the formation enthalpy at 0 K at 33 meV/atom. The symmetry is C2/m, No. 12. As for the density: 5.6 g/cm³.

Geometry as POSCAR:
```
Tb3Y2Sc3
1.0
11.533 -1.745 0.000
11.533 1.745 0.000
-1.513 0.000 5.778
Tb Y Sc
3 2 3
direct
0.000 0.000 0.000
0.122 0.122 0.465
0.878 0.878 0.535
0.247 0.247 0.243
0.753 0.753 0.757
0.377 0.377 0.041
0.500 0.500 0.500
0.623 0.623 0.959
```

=====

# SrTl2Cr

A relaxed SrTl2Cr crystal (PBE, Alexandria).

Calculated values
Its density of states at the Fermi level is 2.37 states/eV/f.u. The calculation puts the formation enthalpy at 0 K at 242 meV/atom. The symmetry is I-4m2, No. 119. As for the density: 8.1 g/cm³.

Geometry as POSCAR:
```
SrTl2Cr
1.0
-2.471 2.471 4.626
2.471 -2.471 4.626
2.471 2.471 -4.626
Sr Tl Cr
1 2 1
direct
0.000 0.000 0.000
0.250 0.750 0.500
0.500 0.500 0.000
0.750 0.250 0.500
```

=====

# CeNdTh6

A relaxed CeNdTh6 crystal (PBE, Alexandria).

Calculated values
Its density of states at the Fermi level is 14.08 states/eV/f.u. The calculation puts the formation enthalpy at 0 K at 47 meV/atom. The symmetry is P4/mmm, No. 123. As for the density: 11.0 g/cm³.

Geometry as POSCAR:
```
CeNdTh6
1.0
5.026 0.000 0.000
0.000 5.026 0.000
0.000 0.000 10.063
Ce Nd Th
1 1 6
direct
0.000 0.000 0.000
0.000 0.000 0.500
0.000 0.500 0.244
0.000 0.500 0.756
0.500 0.000 0.244
0.500 0.000 0.756
0.500 0.500 0.000
0.500 0.500 0.500
```